DFT (PBE-GGA) results for crystalline Ti2SnI6 at its relaxed geometry.

Output
Final energy: -3.826 eV/atom
Raw formation energy: -57 kJ/mol of atoms
Crystal system: monoclinic

Unit cell a=8.3517 b=8.3517 c=11.1187 alpha=111.34 beta=111.34 gamma=29.76
With the nearest neighbours (Å) after each atom.
Fractional coordinates of all 9 atoms:
Ti (0.1857, 0.1857, 0.3625)  6 I 2.80-3.00
Ti (0.8143, 0.8143, 0.6375)  6 I 2.80-3.00
Sn (0.5000, 0.5000, 0.0000)  6 I 3.18
I (0.1570, 0.1570, 0.0799)  1 Ti 3.00, 2 Sn 3.18
I (0.1900, 0.1900, 0.6169)  3 Ti 2.80-2.89
I (0.4493, 0.4493, 0.6945)  2 Ti 2.95, 1 Sn 3.18
I (0.5507, 0.5507, 0.3055)  2 Ti 2.95, 1 Sn 3.18
I (0.8100, 0.8100, 0.3831)  3 Ti 2.80-2.89
I (0.8430, 0.8430, 0.9201)  1 Ti 3.00, 2 Sn 3.18